{
  "formula": "Ag6Au2Se3S",
  "functional": "GGA-PBEsol",
  "state": "relaxed",
  "raw_formation_energy_ev_per_atom": -0.05,
  "sg": "C2, No. 5",
  "n_ef_per_ev_cell": 3.7,
  "energy_ev_per_atom": -3.69,
  "density_g_cm3": 9.3,
  "lattice_angstrom": [[-8.337, -0.910, 0.980], [3.811, -0.807, 7.491], [1.647, 7.672, -3.184]],
  "species": ["Au", "Au", "Au", "Au", "Ag", "Ag", "Ag", "Ag", "Ag", "Ag", "Ag", "Ag", "Ag", "Ag", "Ag", "Ag", "Se", "Se", "Se", "Se", "Se", "Se", "S", "S"],
  "frac_coords": [[0.499, 0.253, 0.502], [0.752, 0.998, 0.498], [0.755, 0.752, 0.754], [0.998, 0.001, 0.246], [0.244, 0.370, 0.627], [0.632, 0.632, 0.000], [0.380, 0.880, 0.500], [0.880, 0.493, 0.869], [0.743, 0.617, 0.373], [0.625, 0.011, 0.131], [0.870, 0.370, 0.500], [0.119, 0.996, 0.616], [0.250, 0.884, 0.130], [0.133, 0.133, 0.000], [0.381, 0.504, 0.384], [0.754, 0.120, 0.870], [0.997, 0.705, 0.245], [0.457, 0.707, 0.207], [0.046, 0.750, 0.750], [0.000, 0.296, 0.250], [0.501, 0.250, 0.793], [0.460, 0.751, 0.755], [0.030, 0.275, 0.779], [0.496, 0.251, 0.221]]
}

---

{
  "formula": "AgSbAu2",
  "functional": "GGA-PBEsol",
  "state": "relaxed",
  "raw_formation_energy_ev_per_atom": 0.04,
  "sg": "Pm, No. 6",
  "n_ef_per_ev_cell": 1.5,
  "energy_ev_per_atom": -3.89,
  "density_g_cm3": 13.2,
  "lattice_angstrom": [[2.994, 0.000, -0.077], [0.000, 4.669, 0.000], [-0.874, 0.000, 5.638]],
  "species": ["Au", "Au", "Ag", "Sb"],
  "frac_coords": [[0.692, 0.500, 0.755], [0.775, 0.000, 0.036], [0.342, 0.500, 0.198], [0.691, 0.000, 0.511]]
}

---

{
  "formula": "AgSb2Au2",
  "functional": "GGA-PBEsol",
  "state": "relaxed",
  "raw_formation_energy_ev_per_atom": 0.18,
  "sg": "I4/mmm, No. 139",
  "n_ef_per_ev_cell": 2.3,
  "energy_ev_per_atom": -3.88,
  "density_g_cm3": 11.2,
  "lattice_angstrom": [[3.793, 0.000, 0.000], [0.000, 3.793, 0.000], [-1.897, -1.897, 7.664]],
  "species": ["Au", "Au", "Ag", "Sb", "Sb"],
  "frac_coords": [[0.250, 0.750, 0.500], [0.750, 0.250, 0.500], [0.000, 0.000, 0.000], [0.603, 0.603, 0.207], [0.397, 0.397, 0.793]]
}

---

{
  "formula": "AgSbAu2",
  "functional": "GGA-PBEsol",
  "state": "relaxed",
  "raw_formation_energy_ev_per_atom": 0.02,
  "sg": "Imm2, No. 44",
  "n_ef_per_ev_cell": 1.3,
  "energy_ev_per_atom": -3.91,
  "density_g_cm3": 13.9,
  "lattice_angstrom": [[4.164, 0.000, 0.000], [0.000, 4.136, 0.000], [-2.082, -2.068, 4.331]],
  "species": ["Au", "Au", "Ag", "Sb"],
  "frac_coords": [[0.999, 0.999, 0.999], [0.750, 0.250, 0.500], [0.250, 0.750, 0.499], [0.501, 0.501, 0.001]]
}

---

{
  "formula": "AgSbAu3",
  "functional": "GGA-PBEsol",
  "state": "relaxed",
  "raw_formation_energy_ev_per_atom": 0.82,
  "sg": "Pm-3m, No. 221",
  "n_ef_per_ev_cell": 2.2,
  "energy_ev_per_atom": -3.11,
  "density_g_cm3": 11.4,
  "lattice_angstrom": [[4.928, 0.000, 0.000], [0.000, 4.928, 0.000], [0.000, 0.000, 4.928]],
  "species": ["Au", "Au", "Au", "Ag", "Sb"],
  "frac_coords": [[0.000, 0.000, 0.500], [0.500, 0.000, 0.000], [0.000, 0.500, 0.000], [0.000, 0.000, 0.000], [0.500, 0.500, 0.500]]
}

---

{
  "formula": "Ag2SbAu2",
  "functional": "GGA-PBEsol",
  "state": "relaxed",
  "raw_formation_energy_ev_per_atom": 0.02,
  "sg": "P4/mbm, No. 127",
  "n_ef_per_ev_cell": 3.6,
  "energy_ev_per_atom": -3.78,
  "density_g_cm3": 12.9,
  "lattice_angstrom": [[3.186, 0.000, 0.000], [0.000, 7.689, 0.000], [0.000, 0.000, 7.689]],
  "species": ["Au", "Au", "Au", "Au", "Ag", "Ag", "Ag", "Ag", "Sb", "Sb"],
  "frac_coords": [[0.000, 0.134, 0.366], [0.000, 0.634, 0.134], [0.000, 0.866, 0.634], [0.000, 0.366, 0.866], [0.500, 0.663, 0.837], [0.500, 0.337, 0.163], [0.500, 0.837, 0.337], [0.500, 0.163, 0.663], [0.000, 0.000, 0.000], [0.000, 0.500, 0.500]]
}

---

{
  "formula": "Ag3SbAu",
  "functional": "GGA-PBEsol",
  "state": "relaxed",
  "raw_formation_energy_ev_per_atom": 0.71,
  "sg": "Pm-3m, No. 221",
  "n_ef_per_ev_cell": 2.4,
  "energy_ev_per_atom": -2.98,
  "density_g_cm3": 8.6,
  "lattice_angstrom": [[4.988, 0.000, 0.000], [0.000, 4.988, 0.000], [0.000, 0.000, 4.988]],
  "species": ["Ag", "Ag", "Ag", "Sb", "Au"],
  "frac_coords": [[0.000, 0.500, 0.000], [0.000, 0.000, 0.500], [0.500, 0.000, 0.000], [0.500, 0.500, 0.500], [0.000, 0.000, 0.000]]
}

---

{
  "formula": "AgSbAu2",
  "functional": "GGA-PBEsol",
  "state": "relaxed",
  "raw_formation_energy_ev_per_atom": 0.02,
  "sg": "I4/mmm, No. 139",
  "n_ef_per_ev_cell": 1.6,
  "energy_ev_per_atom": -3.91,
  "density_g_cm3": 13.9,
  "lattice_angstrom": [[4.203, 0.000, 0.000], [0.000, 4.203, 0.000], [-2.101, -2.101, 4.223]],
  "species": ["Sb", "Au", "Au", "Ag"],
  "frac_coords": [[0.000, 0.000, 0.000], [0.750, 0.250, 0.500], [0.250, 0.750, 0.500], [0.500, 0.500, 0.000]]
}

---

{
  "formula": "AgSbAu2",
  "functional": "GGA-PBEsol",
  "state": "relaxed",
  "raw_formation_energy_ev_per_atom": 0.01,
  "sg": "P4/mmm, No. 123",
  "n_ef_per_ev_cell": 1.3,
  "energy_ev_per_atom": -3.92,
  "density_g_cm3": 13.8,
  "lattice_angstrom": [[-1.644, 2.304, 2.235], [-3.148, -0.654, -1.641], [-1.029, -4.319, 3.695]],
  "species": ["Au", "Au", "Ag", "Sb"],
  "frac_coords": [[0.000, 0.000, 0.741], [0.000, 0.000, 0.259], [0.500, 0.500, 0.500], [0.500, 0.500, 0.000]]
}

---

{
  "formula": "AgSb2Au",
  "functional": "GGA-PBEsol",
  "state": "relaxed",
  "raw_formation_energy_ev_per_atom": 0.23,
  "polymorph_energy_mev_per_atom": 215,
  "sg": "F-43m, No. 216",
  "n_ef_per_ev_cell": 1.5,
  "energy_ev_per_atom": -3.86,
  "density_g_cm3": 10.4,
  "lattice_angstrom": [[4.982, 0.000, 0.000], [2.491, 4.315, 0.000], [2.491, 1.438, 4.068]],
  "species": ["Ag", "Sb", "Sb", "Au"],
  "frac_coords": [[0.500, 0.500, 0.500], [0.000, 0.000, 0.000], [0.750, 0.750, 0.750], [0.250, 0.250, 0.250]]
}

---

{
  "formula": "AgSbAu2",
  "functional": "GGA-PBEsol",
  "state": "relaxed",
  "raw_formation_energy_ev_per_atom": 0.10,
  "sg": "R-3m, No. 166",
  "n_ef_per_ev_cell": 1.2,
  "energy_ev_per_atom": -3.83,
  "density_g_cm3": 13.6,
  "lattice_angstrom": [[-2.628, -1.661, -0.332], [-0.016, -3.053, 0.677], [-3.157, 0.328, 8.624]],
  "species": ["Ag", "Au", "Au", "Sb"],
  "frac_coords": [[0.000, 0.000, 0.000], [0.746, 0.746, 0.762], [0.254, 0.254, 0.238], [0.500, 0.500, 0.500]]
}

---

{
  "formula": "AgSb2Au",
  "functional": "GGA-PBEsol",
  "state": "relaxed",
  "raw_formation_energy_ev_per_atom": 0.17,
  "polymorph_energy_mev_per_atom": 161,
  "sg": "Fm-3m, No. 225",
  "n_ef_per_ev_cell": 1.9,
  "energy_ev_per_atom": -3.91,
  "density_g_cm3": 10.7,
  "lattice_angstrom": [[4.944, 0.000, 0.000], [2.472, 4.281, 0.000], [2.472, 1.427, 4.036]],
  "species": ["Sb", "Sb", "Ag", "Au"],
  "frac_coords": [[0.750, 0.750, 0.750], [0.250, 0.250, 0.250], [0.000, 0.000, 0.000], [0.500, 0.500, 0.500]]
}

---

{
  "formula": "AgSb2Au",
  "functional": "GGA-PBEsol",
  "state": "relaxed",
  "raw_formation_energy_ev_per_atom": 0.01,
  "polymorph_energy_mev_per_atom": 0,
  "sg": "Pm, No. 6",
  "n_ef_per_ev_cell": 1.6,
  "energy_ev_per_atom": -4.07,
  "density_g_cm3": 10.5,
  "lattice_angstrom": [[-2.778, 2.246, 2.277], [-0.405, -2.935, 2.400], [5.172, 0.986, 2.080]],
  "species": ["Sb", "Sb", "Au", "Ag"],
  "frac_coords": [[0.946, 0.000, 0.914], [0.553, 0.500, 0.335], [0.417, 0.500, 0.814], [0.085, 0.000, 0.437]]
}

---

{
  "formula": "AgSbTe2Au",
  "functional": "GGA-PBEsol",
  "state": "relaxed",
  "raw_formation_energy_ev_per_atom": 0.71,
  "sg": "P4/mmm, No. 123",
  "n_ef_per_ev_cell": 4.5,
  "energy_ev_per_atom": -3.06,
  "density_g_cm3": 7.4,
  "lattice_angstrom": [[5.177, 0.000, 0.000], [0.000, 5.445, 0.000], [0.000, 0.000, 5.445]],
  "species": ["Au", "Te", "Te", "Sb", "Ag"],
  "frac_coords": [[0.000, 0.000, 0.000], [0.000, 0.000, 0.500], [0.000, 0.500, 0.000], [0.500, 0.000, 0.000], [0.500, 0.500, 0.500]]
}

---

{
  "formula": "Tl2AgSbAu",
  "functional": "GGA-PBEsol",
  "state": "relaxed",
  "raw_formation_energy_ev_per_atom": 0.54,
  "sg": "P4/mmm, No. 123",
  "n_ef_per_ev_cell": 2.0,
  "energy_ev_per_atom": -2.87,
  "density_g_cm3": 9.4,
  "lattice_angstrom": [[-1.459, -0.046, -4.996], [-3.631, -3.725, 1.095], [-3.585, 3.792, 1.012]],
  "species": ["Tl", "Tl", "Au", "Sb", "Ag"],
  "frac_coords": [[0.000, 0.500, 0.000], [0.000, 0.000, 0.500], [0.500, 0.500, 0.500], [0.500, 0.000, 0.000], [0.000, 0.000, 0.000]]
}

---

{
  "formula": "Sc2AgAu2",
  "functional": "GGA-PBEsol",
  "state": "relaxed",
  "sg": "P4/mbm, No. 127",
  "n_ef_per_ev_cell": 6.0,
  "energy_ev_per_atom": -5.51,
  "density_g_cm3": 10.3,
  "formation_energy_ev_per_atom": -0.639,
  "lattice_angstrom": [[-2.070, 0.145, -2.637], [4.460, -4.776, -3.764], [-3.916, -5.826, 2.753]],
  "species": ["Au", "Au", "Au", "Au", "Sc", "Sc", "Sc", "Sc", "Ag", "Ag"],
  "frac_coords": [[0.000, 0.133, 0.367], [0.000, 0.633, 0.133], [0.000, 0.367, 0.867], [0.000, 0.867, 0.633], [0.500, 0.666, 0.834], [0.500, 0.334, 0.166], [0.500, 0.166, 0.666], [0.500, 0.834, 0.334], [0.000, 0.500, 0.500], [0.000, 0.000, 0.000]]
}

---

{
  "formula": "ScAgAu2",
  "functional": "GGA-PBEsol",
  "state": "relaxed",
  "sg": "P4/mmm, No. 123",
  "n_ef_per_ev_cell": 1.5,
  "energy_ev_per_atom": -4.98,
  "density_g_cm3": 12.9,
  "formation_energy_ev_per_atom": -0.537,
  "lattice_angstrom": [[3.379, 0.000, 0.000], [0.000, 3.379, 0.000], [0.000, 0.000, 6.175]],
  "species": ["Au", "Au", "Ag", "Sc"],
  "frac_coords": [[0.000, 0.000, 0.749], [0.000, 0.000, 0.251], [0.500, 0.500, 0.500], [0.500, 0.500, 0.000]]
}

---

{
  "formula": "ScAgAu2",
  "functional": "GGA-PBEsol",
  "state": "relaxed",
  "sg": "P4mm, No. 99",
  "n_ef_per_ev_cell": 1.5,
  "energy_ev_per_atom": -4.89,
  "density_g_cm3": 12.8,
  "formation_energy_ev_per_atom": -0.452,
  "lattice_angstrom": [[-2.622, -2.283, -0.177], [0.692, -1.046, 3.247], [-3.670, 4.054, 2.088]],
  "species": ["Au", "Au", "Sc", "Ag"],
  "frac_coords": [[0.500, 0.500, 0.255], [0.000, 0.000, 0.993], [0.000, 0.000, 0.490], [0.500, 0.500, 0.762]]
}

---

{
  "formula": "ScAgAu",
  "functional": "GGA-PBEsol",
  "state": "relaxed",
  "sg": "I4mm, No. 107",
  "n_ef_per_ev_cell": 1.0,
  "energy_ev_per_atom": -5.23,
  "density_g_cm3": 10.9,
  "formation_energy_ev_per_atom": -0.619,
  "lattice_angstrom": [[-1.038, 3.155, 1.102], [-1.814, -1.501, 2.589], [4.924, -0.581, 0.747]],
  "species": ["Au", "Sc", "Ag"],
  "frac_coords": [[0.329, 0.329, 0.659], [0.671, 0.671, 0.342], [0.000, 0.000, 0.999]]
}

---

{
  "formula": "ScAg3Au",
  "functional": "GGA-PBEsol",
  "state": "relaxed",
  "sg": "Pm-3m, No. 221",
  "n_ef_per_ev_cell": 5.1,
  "energy_ev_per_atom": -3.46,
  "density_g_cm3": 7.6,
  "formation_energy_ev_per_atom": 0.633,
  "lattice_angstrom": [[4.971, 0.000, 0.000], [0.000, 4.971, 0.000], [0.000, 0.000, 4.971]],
  "species": ["Ag", "Ag", "Ag", "Sc", "Au"],
  "frac_coords": [[0.000, 0.000, 0.500], [0.500, 0.000, 0.000], [0.000, 0.500, 0.000], [0.500, 0.500, 0.500], [0.000, 0.000, 0.000]]
}